Record 1
{"formula": "Fe2Ge", "functional": "PBE-GGA", "state": "optimized geometry", "cell": [[0.000, 3.391, 3.391], [3.391, 0.000, 3.391], [3.391, 3.391, 0.000]], "species": ["Fe", "Fe", "Fe", "Fe", "Ge", "Ge"], "fractional_positions": [[0.625, 0.625, 0.125], [0.625, 0.125, 0.625], [0.125, 0.625, 0.625], [0.625, 0.625, 0.625], [0.000, 0.000, 0.000], [0.250, 0.250, 0.250]], "final_energy_ev_per_atom": -6.92, "magmom_total_mub_per_atom": 1.320, "spacegroup": "Fd-3m (227)"}



Record 2
{"formula": "CoSnPt2", "functional": "PBE-GGA", "state": "optimized geometry", "cell": [[0.000, 3.152, 3.152], [3.152, 0.000, 3.152], [3.152, 3.152, 0.000]], "species": ["Co", "Pt", "Pt", "Sn"], "fractional_positions": [[0.250, 0.250, 0.250], [0.000, 0.000, 0.000], [0.750, 0.750, 0.750], [0.500, 0.500, 0.500]], "final_energy_ev_per_atom": -5.88, "magmom_total_mub_per_atom": 0.343, "spacegroup": "F-43m (216)"}



Record 3
{"formula": "ScAlNiAu", "functional": "PBE-GGA", "state": "optimized geometry", "cell": [[3.035, -1.469, 2.984], [0.415, 2.053, 3.985], [-1.359, -2.078, 3.755]], "species": ["Al", "Au", "Ni", "Sc"], "fractional_positions": [[0.000, 0.000, 0.000], [0.500, 0.500, 0.500], [0.750, 0.750, 0.750], [0.250, 0.250, 0.250]], "final_energy_ev_per_atom": -5.14, "magmom_total_mub_per_atom": 0.001, "spacegroup": "F-43m (216)"}



Record 4
{"formula": "HfAlHg", "functional": "PBE-GGA", "state": "optimized geometry", "cell": [[0.000, 3.215, 3.215], [3.215, 0.000, 3.215], [3.215, 3.215, 0.000]], "species": ["Al", "Hf", "Hg"], "fractional_positions": [[0.250, 0.250, 0.250], [0.750, 0.750, 0.750], [0.000, 0.000, 0.000]], "final_energy_ev_per_atom": -4.48, "polymorph_energy_mev_per_atom": 0, "magmom_total_mub_per_atom": 0.001, "spacegroup": "F-43m (216)"}



Record 5
{"formula": "Tc2GePd", "functional": "PBE-GGA", "state": "optimized geometry", "cell": [[8.651, -1.411, 0.000], [8.651, 1.411, 0.000], [-0.457, 0.000, 4.866]], "species": ["Ge", "Ge", "Pd", "Pd", "Tc", "Tc", "Tc", "Tc"], "fractional_positions": [[0.000, 0.000, 0.000], [0.500, 0.500, 0.500], [0.750, 0.750, 0.250], [0.250, 0.250, 0.750], [0.380, 0.380, 0.125], [0.120, 0.120, 0.375], [0.880, 0.880, 0.625], [0.620, 0.620, 0.875]], "final_energy_ev_per_atom": -7.51, "magmom_total_mub_per_atom": 0.001, "spacegroup": "C2/m (12)"}



Record 6
{"formula": "Re2HgO4", "functional": "PBE-GGA", "state": "optimized geometry", "cell": [[4.602, -4.604, 0.000], [-4.602, 0.000, -4.604], [4.602, 4.604, 0.000]], "species": ["Hg", "Hg", "O", "O", "O", "O", "O", "O", "O", "O", "Re", "Re", "Re", "Re"], "fractional_positions": [[0.000, 0.000, 0.000], [0.750, 0.500, 0.250], [0.202, 0.802, 0.401], [0.599, 0.198, 0.401], [0.599, 0.802, 0.401], [0.151, 0.302, 0.452], [0.599, 0.198, 0.798], [0.151, 0.698, 0.849], [0.151, 0.302, 0.849], [0.548, 0.698, 0.849], [0.375, 0.750, 0.125], [0.875, 0.250, 0.625], [0.375, 0.250, 0.625], [0.375, 0.750, 0.625]], "final_energy_ev_per_atom": -6.93, "magmom_total_mub_per_atom": 0.688, "spacegroup": "Fd-3m (227)"}



Record 7
{"formula": "Hf2Sn2PdPt", "functional": "PBE-GGA", "state": "optimized geometry", "cell": [[7.794, 0.000, 0.000], [0.000, 4.499, 0.000], [-2.595, 0.000, 14.694]], "species": ["Hf", "Hf", "Hf", "Hf", "Hf", "Hf", "Hf", "Hf", "Pd", "Pd", "Pd", "Pd", "Pt", "Pt", "Pt", "Pt", "Sn", "Sn", "Sn", "Sn", "Sn", "Sn", "Sn", "Sn"], "fractional_positions": [[0.686, 0.000, 0.062], [0.189, 0.500, 0.063], [0.938, 0.500, 0.312], [0.437, 0.000, 0.312], [0.187, 0.000, 0.562], [0.688, 0.500, 0.563], [0.935, 0.000, 0.812], [0.440, 0.500, 0.813], [0.000, 0.500, 0.500], [0.500, 0.000, 0.500], [0.250, 0.000, 0.750], [0.000, 0.000, 0.000], [0.500, 0.500, 0.000], [0.750, 0.000, 0.250], [0.250, 0.500, 0.250], [0.750, 0.500, 0.750], [0.062, 0.000, 0.186], [0.563, 0.500, 0.188], [0.813, 0.000, 0.439], [0.313, 0.500, 0.439], [0.559, 0.000, 0.687], [0.065, 0.500, 0.687], [0.309, 0.000, 0.936], [0.815, 0.500, 0.938]], "final_energy_ev_per_atom": -7.38, "magmom_total_mub_per_atom": 0.000, "spacegroup": "Pm (6)"}



Record 8
{"formula": "Dy3SbO", "functional": "PBE-GGA", "state": "optimized geometry", "cell": [[4.745, 0.000, 0.000], [0.000, 4.745, 0.000], [0.000, 0.000, 4.745]], "species": ["Dy", "Dy", "Dy", "O", "Sb"], "fractional_positions": [[0.500, 0.000, 0.000], [0.000, 0.500, 0.000], [0.000, 0.000, 0.500], [0.000, 0.000, 0.000], [0.500, 0.500, 0.500]], "final_energy_ev_per_atom": -6.02, "magmom_total_mub_per_atom": 0.001, "spacegroup": "Pm-3m (221)"}